KAlCr4 | SCAN | single point on PBEsol structure

Structure (POSCAR):
```
KAlCr4
1.0
-2.9361 -3.7865 -1.3569
0.6530 -4.5048 2.0197
-3.3661 -1.8088 3.1932
Cr K Al
4 1 1
Direct
0.8679 0.3774 0.3774
0.3774 0.3774 0.3774
0.3774 0.3774 0.8679
0.3774 0.8679 0.3774
0.7500 0.7500 0.7500
0.0000 0.0000 0.0000
```

Computed properties:
Energy relative to the elements in eV/atom: 1.184
VASP energy in eV/atom: -13.7524